TmZrMn2O6: optimized geometry, GGA+U.

Structure (CIF):
```
data_TmZrMn2O6
_symmetry_space_group_name_H-M 'P 1'
_symmetry_Int_Tables_number 1
_symmetry_space_group_name_Hall 'P 1'
_cell_length_a 5.3796
_cell_length_b 5.3909
_cell_length_c 5.7478
_cell_angle_alpha 62.36
_cell_angle_beta 62.42
_cell_angle_gamma 60.19
loop_
_atom_site_label
_atom_site_fract_x
_atom_site_fract_y
_atom_site_fract_z
_atom_site_occupancy
Tm1 0.0000 0.0000 0.0000 1
Zr1 0.5067 0.5114 0.4689 1
Mn1 0.2058 0.2060 0.3825 1
Mn2 0.7209 0.7213 0.8346 1
O1 0.1191 0.8217 0.6486 1
O2 0.3237 0.5731 0.1718 1
O3 0.4071 0.1208 0.6507 1
O4 0.5723 0.9307 0.1763 1
O5 0.8215 0.4085 0.6483 1
O6 0.9283 0.3238 0.1754 1
```

Output
mass density: 6.34 g cm⁻³
final energy: -82.6 eV/cell
N(E_F): 0.0 states/eV/f.u.